## InBiH6Ir2 (GGA-PBE)

Data for crystalline InBiH6Ir2 at its relaxed geometry.

Cell and atoms, written as POSCAR:
```
InBiH6Ir2
1.0
6.904 -0.288 -0.125
-1.131 6.816 -0.125
-1.687 -1.907 5.264
H In Ir Bi
12 2 4 2
Direct
0.063 0.691 0.800
0.207 0.509 0.216
0.937 0.309 0.200
0.757 0.902 0.050
0.243 0.098 0.950
0.309 0.937 0.700
0.491 0.793 0.284
0.793 0.491 0.784
0.902 0.757 0.550
0.691 0.063 0.300
0.509 0.207 0.716
0.098 0.243 0.450
0.162 0.838 0.250
0.838 0.162 0.750
0.157 0.260 0.189
0.260 0.157 0.689
0.843 0.740 0.811
0.740 0.843 0.311
0.594 0.406 0.250
0.406 0.594 0.750
```

Properties
Density of states at the Fermi level   3.510 states/eV/cell
Spin magnetization   0.00 μB per formula unit
E_tot   -4.32 eV per atom


## FeB2Br (GGA-PBE)

Data for crystalline FeB2Br at its relaxed geometry.

Cell and atoms, written as POSCAR:
```
FeB2Br
1.0
-0.271 -2.847 -2.710
-2.905 -2.653 0.214
-2.925 0.064 -2.639
B Br Fe
2 1 1
Direct
0.750 0.750 0.750
0.250 0.250 0.250
0.500 0.500 0.500
0.000 0.000 0.000
```

Properties
Density of states at the Fermi level   2.079 states/eV/cell
Spin magnetization   0.83 μB per formula unit
Uncorrected formation energy   794.7 kJ/mol of formula units


## ZnTc2Te (GGA-PBE)

Data for crystalline ZnTc2Te at its relaxed geometry.

Cell and atoms, written as POSCAR:
```
ZnTc2Te
1.0
1.558 -3.832 1.683
-2.380 -3.755 -0.421
1.401 -3.236 -2.740
Tc Zn Te
2 1 1
Direct
0.250 0.250 0.250
0.750 0.750 0.750
0.000 0.000 0.000
0.500 0.500 0.500
```

Properties
Density of states at the Fermi level   5.296 states/eV/cell
Spin magnetization   0.00 μB per formula unit
Uncorrected formation energy   100.6 kJ/mol of formula units


## MnAlCr4 (GGA-PBE)

Data for crystalline MnAlCr4 at its relaxed geometry.

Cell and atoms, written as POSCAR:
```
MnAlCr4
1.0
2.927 -0.139 0.000
0.139 2.927 0.000
0.000 0.000 8.662
Cr Mn Al
4 1 1
Direct
0.500 0.500 0.184
0.000 0.000 0.668
0.000 0.000 0.332
0.500 0.500 0.816
0.500 0.500 0.500
0.000 0.000 0.000
```

Properties
Density of states at the Fermi level   3.566 states/eV/cell
Spin magnetization   2.53 μB per formula unit
E_tot   -8.60 eV per atom


## ReAsAu2 (GGA-PBE)

Data for crystalline ReAsAu2 at its relaxed geometry.

Cell and atoms, written as POSCAR:
```
ReAsAu2
1.0
-0.287 -8.558 -3.842
0.184 -9.324 -1.049
-2.547 -8.811 -1.989
As Re Au
1 1 2
Direct
0.750 0.750 0.750
0.250 0.250 0.250
0.502 0.502 0.502
0.998 0.998 0.998
```

Properties
Density of states at the Fermi level   4.481 states/eV/cell
Spin magnetization   0.00 μB per formula unit
E_tot   -5.44 eV per atom


## NpTl2IrO6 (GGA-PBE)

Data for crystalline NpTl2IrO6 at its relaxed geometry.

Cell and atoms, written as POSCAR:
```
NpTl2IrO6
1.0
5.751 0.000 0.002
0.000 5.750 0.001
2.877 2.877 5.452
O Tl Np Ir
6 2 1 1
Direct
0.826 0.826 0.347
0.266 0.266 0.000
0.734 0.734 0.000
0.734 0.266 0.000
0.174 0.174 0.653
0.266 0.734 0.000
0.750 0.250 0.500
0.250 0.750 0.500
0.000 0.000 0.000
0.500 0.500 0.000
```

Properties
Density of states at the Fermi level   6.741 states/eV/cell
Spin magnetization   2.77 μB per formula unit
Uncorrected formation energy   -1423.8 kJ/mol of formula units


## CaThMg17 (GGA-PBE)

Data for crystalline CaThMg17 at its relaxed geometry.

Cell and atoms, written as POSCAR:
```
CaThMg17
1.0
7.759 0.061 0.983
0.874 7.710 0.983
0.067 0.061 7.821
Mg Ca Th
17 1 1
Direct
0.697 0.303 0.999
0.303 0.999 0.697
0.835 0.354 0.354
0.651 0.156 0.651
0.697 0.999 0.303
0.999 0.697 0.303
0.999 0.303 0.697
0.996 0.996 0.502
0.354 0.835 0.354
0.651 0.651 0.156
0.099 0.099 0.099
0.354 0.354 0.835
0.502 0.996 0.996
0.303 0.697 0.999
0.901 0.901 0.901
0.156 0.651 0.651
0.996 0.502 0.996
0.336 0.336 0.336
0.669 0.669 0.669
```

Properties
Density of states at the Fermi level   7.752 states/eV/cell
Spin magnetization   0.00 μB per formula unit
E_tot   -1.93 eV per atom


## La2DyScP4 (GGA-PBE)

Data for crystalline La2DyScP4 at its relaxed geometry.

Cell and atoms, written as POSCAR:
```
La2DyScP4
1.0
-3.472 1.594 -1.462
-2.481 0.641 6.593
3.460 5.886 -1.800
Dy La Sc P
1 2 1 4
Direct
0.500 0.500 0.000
0.500 0.000 0.500
0.000 0.500 0.500
0.000 0.000 0.000
0.000 0.250 0.769
0.500 0.764 0.773
0.500 0.236 0.227
0.000 0.750 0.231
```

Properties
Density of states at the Fermi level   0.854 states/eV/cell
Spin magnetization   0.00 μB per formula unit
E_tot   -6.82 eV per atom


## LaNb3Os (GGA-PBE)

Data for crystalline LaNb3Os at its relaxed geometry.

Cell and atoms, written as POSCAR:
```
LaNb3Os
1.0
-0.409 0.933 -4.678
-4.292 -2.121 -0.048
-2.082 4.190 1.018
Nb Os La
3 1 1
Direct
0.000 0.000 0.500
0.000 0.500 0.000
0.500 0.000 0.000
0.500 0.500 0.500
0.000 0.000 0.000
```

Properties
Density of states at the Fermi level   8.995 states/eV/cell
Spin magnetization   0.01 μB per formula unit
E_tot   -7.01 eV per atom


## PRu2I (GGA-PBE)

Data for crystalline PRu2I at its relaxed geometry.

Cell and atoms, written as POSCAR:
```
PRu2I
1.0
0.000 3.186 3.186
3.186 0.000 3.186
3.186 3.186 0.000
I P Ru
1 1 2
Direct
0.500 0.500 0.500
0.000 0.000 0.000
0.750 0.750 0.750
0.250 0.250 0.250
```

Properties
Density of states at the Fermi level   4.519 states/eV/cell
Spin magnetization   0.60 μB per formula unit
Uncorrected formation energy   257.1 kJ/mol of formula units


## SrMo2Os (GGA-PBE)

Data for crystalline SrMo2Os at its relaxed geometry.

Cell and atoms, written as POSCAR:
```
SrMo2Os
1.0
-1.925 2.390 -3.707
-0.808 -3.432 -1.793
-3.534 -0.095 1.774
Os Sr Mo
1 1 2
Direct
0.500 0.500 0.000
0.500 0.000 0.500
0.000 0.000 0.000
0.000 0.500 0.500
```

Properties
Density of states at the Fermi level   4.079 states/eV/cell
Spin magnetization   0.00 μB per formula unit
E_tot   -7.35 eV per atom


## Sr2LiNi9 (GGA-PBE)

Data for crystalline Sr2LiNi9 at its relaxed geometry.

Cell and atoms, written as POSCAR:
```
Sr2LiNi9
1.0
5.030 0.000 0.000
2.515 4.356 0.000
2.515 1.452 8.199
Ni Sr Li
9 2 1
Direct
0.575 0.575 0.767
0.918 0.425 0.233
0.332 0.332 0.004
0.082 0.575 0.767
0.575 0.082 0.767
0.668 0.668 0.996
0.425 0.425 0.233
0.500 0.500 0.500
0.425 0.918 0.233
0.864 0.864 0.409
0.136 0.136 0.591
0.000 0.000 0.000
```

Properties
Density of states at the Fermi level   13.798 states/eV/cell
Spin magnetization   3.49 μB per formula unit
E_tot   -4.70 eV per atom


## CaIr2Ru (GGA-PBE)

Data for crystalline CaIr2Ru at its relaxed geometry.

Cell and atoms, written as POSCAR:
```
CaIr2Ru
1.0
-1.961 -1.216 -1.592
-1.994 -0.863 3.116
-3.133 5.636 -0.444
Ir Ru Ca
2 1 1
Direct
0.000 0.000 0.048
0.000 0.000 0.452
0.500 0.500 0.250
0.500 0.500 0.750
```

Properties
Density of states at the Fermi level   5.239 states/eV/cell
Spin magnetization   0.00 μB per formula unit
E_tot   -7.12 eV per atom


## RbLiSb3 (GGA-PBE)

Data for crystalline RbLiSb3 at its relaxed geometry.

Cell and atoms, written as POSCAR:
```
RbLiSb3
1.0
5.292 0.000 0.000
0.000 5.292 0.000
0.000 0.000 5.292
Sb Li Rb
3 1 1
Direct
0.000 0.000 0.500
0.000 0.500 0.000
0.500 0.000 0.000
0.000 0.000 0.000
0.500 0.500 0.500
```

Properties
Density of states at the Fermi level   3.346 states/eV/cell
Spin magnetization   0.00 μB per formula unit
Uncorrected formation energy   10.7 kJ/mol of formula units


## Tb6HoEr2Sc3 (GGA-PBE)

Data for crystalline Tb6HoEr2Sc3 at its relaxed geometry.

Cell and atoms, written as POSCAR:
```
Tb6HoEr2Sc3
1.0
6.039 0.001 0.008
-3.017 5.232 0.008
-1.018 -1.762 11.236
Sc Tb Ho Er
3 6 1 2
Direct
0.167 0.833 0.500
0.500 0.500 0.500
0.833 0.167 0.500
0.247 0.247 0.742
0.086 0.420 0.258
0.753 0.753 0.258
0.420 0.086 0.258
0.580 0.914 0.742
0.914 0.580 0.742
0.000 0.000 0.000
0.667 0.333 0.000
0.333 0.667 0.000
```

Properties
Density of states at the Fermi level   16.828 states/eV/cell
Spin magnetization   0.00 μB per formula unit
E_tot   -5.00 eV per atom


## Tl2GaSnCl6 (GGA-PBE)

Data for crystalline Tl2GaSnCl6 at its relaxed geometry.

Cell and atoms, written as POSCAR:
```
Tl2GaSnCl6
1.0
-4.082 6.377 -0.262
-0.197 -0.490 -7.551
-2.480 -5.828 4.162
Ga Cl Tl Sn
1 6 2 1
Direct
0.001 0.001 0.011
0.226 0.744 0.971
0.183 0.185 0.455
0.707 0.707 0.895
0.783 0.781 0.474
0.251 0.252 0.022
0.741 0.224 0.966
0.828 0.273 0.603
0.272 0.829 0.602
0.506 0.507 0.999
```

Properties
Density of states at the Fermi level   3.153 states/eV/cell
Spin magnetization   0.00 μB per formula unit
Uncorrected formation energy   -913.8 kJ/mol of formula units


## PmDyInGa (GGA-PBE)

Data for crystalline PmDyInGa at its relaxed geometry.

Cell and atoms, written as POSCAR:
```
PmDyInGa
1.0
-3.328 1.248 -0.952
0.777 -0.629 -3.541
-2.806 -7.003 0.628
Dy Ga In Pm
1 1 1 1
Direct
0.500 0.500 0.593
0.000 0.000 0.367
0.000 0.000 0.848
0.500 0.500 0.121
```

Properties
Density of states at the Fermi level   2.095 states/eV/cell
Spin magnetization   0.00 μB per formula unit
E_tot   -4.30 eV per atom


## NaPdF (GGA-PBE)

Data for crystalline NaPdF at its relaxed geometry.

Cell and atoms, written as POSCAR:
```
NaPdF
1.0
5.628 0.000 0.000
0.000 2.930 0.000
0.000 0.000 11.704
Na Pd F
4 4 4
Direct
0.324 0.250 0.821
0.824 0.250 0.679
0.176 0.750 0.321
0.676 0.750 0.179
0.359 0.250 0.556
0.641 0.750 0.444
0.859 0.250 0.944
0.141 0.750 0.056
0.637 0.750 0.812
0.863 0.250 0.312
0.137 0.750 0.688
0.363 0.250 0.188
```

Properties
Density of states at the Fermi level   0.000 states/eV/cell
Spin magnetization   0.00 μB per formula unit
Uncorrected formation energy   -361.1 kJ/mol of formula units


## Li2IBr (GGA-PBE)

Data for crystalline Li2IBr at its relaxed geometry.

Cell and atoms, written as POSCAR:
```
Li2IBr
1.0
-2.236 -5.226 -2.422
-1.964 -1.751 5.591
-7.497 -0.705 0.561
Li I Br
4 2 2
Direct
0.875 0.845 0.750
0.375 0.405 0.750
0.155 0.625 0.250
0.595 0.125 0.250
0.750 0.250 0.500
0.000 0.000 0.000
0.500 0.500 0.000
0.250 0.750 0.500
```

Properties
Density of states at the Fermi level   0.000 states/eV/cell
Spin magnetization   0.00 μB per formula unit
Uncorrected formation energy   -530.8 kJ/mol of formula units


## Mg5In12Pb2 (GGA-PBE)

Data for crystalline Mg5In12Pb2 at its relaxed geometry.

Cell and atoms, written as POSCAR:
```
Mg5In12Pb2
1.0
4.518 0.017 1.027
0.166 10.083 7.984
-0.857 2.394 12.608
In Mg Pb
12 5 2
Direct
0.901 0.100 0.100
0.207 0.043 0.550
0.109 0.394 0.394
0.891 0.606 0.606
0.207 0.550 0.043
0.400 0.353 0.851
0.099 0.900 0.900
0.400 0.851 0.353
0.600 0.149 0.647
0.600 0.647 0.149
0.793 0.957 0.450
0.793 0.450 0.957
0.299 0.700 0.700
0.701 0.300 0.300
0.300 0.198 0.198
0.700 0.802 0.802
0.500 0.000 0.000
0.000 0.728 0.272
0.000 0.272 0.728
```

Properties
Density of states at the Fermi level   6.035 states/eV/cell
Spin magnetization   0.00 μB per formula unit
E_tot   -2.56 eV per atom


## Pr2HgIr (GGA-PBE)

Data for crystalline Pr2HgIr at its relaxed geometry.

Cell and atoms, written as POSCAR:
```
Pr2HgIr
1.0
4.251 0.000 0.000
2.125 3.681 0.000
2.125 1.227 7.639
Hg Pr Ir
1 2 1
Direct
0.501 0.501 0.498
0.067 0.067 0.800
0.267 0.267 0.198
0.665 0.665 0.004
```

Properties
Density of states at the Fermi level   2.907 states/eV/cell
Spin magnetization   0.00 μB per formula unit
E_tot   -5.21 eV per atom


## Li2BiHPt (GGA-PBE)

Data for crystalline Li2BiHPt at its relaxed geometry.

Cell and atoms, written as POSCAR:
```
Li2BiHPt
1.0
4.129 0.000 0.000
0.000 4.129 0.000
0.000 0.000 4.430
Bi Li H Pt
1 2 1 1
Direct
0.000 0.000 0.500
0.000 0.500 0.000
0.500 0.000 0.000
0.000 0.000 0.000
0.500 0.500 0.500
```

Properties
Density of states at the Fermi level   1.797 states/eV/cell
Spin magnetization   0.00 μB per formula unit
E_tot   -3.65 eV per atom


## NdNpAs2 (GGA-PBE)

Data for crystalline NdNpAs2 at its relaxed geometry.

Cell and atoms, written as POSCAR:
```
NdNpAs2
1.0
-2.499 2.749 1.909
-3.669 1.026 -1.711
-5.086 -3.873 3.487
Nd As Np
1 2 1
Direct
0.000 0.000 0.000
0.754 0.754 0.737
0.246 0.246 0.263
0.500 0.500 0.500
```

Properties
Density of states at the Fermi level   10.536 states/eV/cell
Spin magnetization   3.82 μB per formula unit
E_tot   -7.84 eV per atom


## SmDyPu (GGA-PBE)

Data for crystalline SmDyPu at its relaxed geometry.

Cell and atoms, written as POSCAR:
```
SmDyPu
1.0
3.526 0.000 0.000
0.000 3.526 0.000
-1.763 -1.763 7.455
Pu Dy Sm
1 1 1
Direct
0.001 0.001 0.002
0.663 0.663 0.326
0.336 0.336 0.672
```

Properties
Density of states at the Fermi level   7.017 states/eV/cell
Spin magnetization   6.15 μB per formula unit
E_tot   -7.77 eV per atom